11
Lattice="-2.576 5.175 6.542 2.576 -5.175 6.542 2.576 5.175 -6.542" Properties=species:S:1:pos:R:3 comment="Dy2Tm5In4 GGA-PBE relaxed" spacegroup="No. 71" ef_ev_per_atom=0.092 m_tot_mub_per_fu=0.00 dos_at_fermi_per_ev_fu=10.9 pbc="T T T"
Dy 0.000 0.000 2.188
Dy 0.000 0.000 10.896
Tm 2.576 0.000 0.000
Tm 2.576 -1.621 3.611
Tm 2.576 1.621 3.611
Tm 0.000 3.555 2.931
Tm 0.000 6.796 2.931
In 0.000 2.240 0.000
In 0.000 0.000 5.128
In 0.000 0.000 7.956
In 0.000 8.110 0.000